The following is a GGA+U calculation of a geometry-optimized TaFe2NiO6 structure, from Alexandria via LeMat-Bulk.

It has space group P1 (No. 1), with a = 5.131 Å, b = 5.133 Å, c = 5.550 Å, α = 90.77°, β = 116.77° and γ = 119.72°. The inequivalent atoms are Ta at (0.000, 0.000, 0.000), Fe at (0.380, 0.689, 0.065), Fe at (0.407, 0.203, 0.603), Ni at (0.982, 0.492, 0.470), O at (0.179, 0.283, 0.792), O at (0.192, 0.411, 0.264), O at (0.485, 0.079, 0.271), O at (0.514, 0.888, 0.795), O at (0.860, 0.781, 0.264) and O at (0.913, 0.620, 0.794).

The volume is 10.8 A^3/atom. For the total energy, the calculation gives -7.232 eV per atom. For the density of states at the Fermi level, the calculation gives 0.00 states/eV/f.u.